PBE Ta2CoCuH, relaxed; SG = P4/mmm (123); calculated density = 13.16 Mg/m³; electronic total energy = -7.612 eV/atom
1.0
4.031 0.000 0.000
0.000 4.031 0.000
0.000 0.000 3.767
Ta Co Cu H
2 1 1 1
Cartesian
0.000 2.016 0.000
2.016 0.000 0.000
0.000 0.000 1.884
2.016 2.016 1.884
2.016 2.016 0.000